TbTm5Ni2 (PBE-GGA, optimized geometry); energy relative to the elements = -159 meV/atom; energy above the most stable polymorph in this dataset = 22.5 meV per atom; total magnetic moment = 0.0 μB per cell; space group = Immm
1.0
-1.907 3.567 7.652
1.907 -3.567 7.652
1.907 3.567 -7.652
Tb Tm Ni
1 5 2
direct
0.000 0.000 0.000
0.091 0.344 0.747
0.403 0.656 0.747
0.500 0.000 0.500
0.597 0.344 0.253
0.909 0.656 0.253
0.306 0.806 0.500
0.694 0.194 0.500